Density functional theory data (PBE) for GeHPd2 after structural relaxation.

Structure (CIF):
```
data_GeHPd2
_chemical_formula_sum 'Ge2 H2 Pd4'
_symmetry_space_group_name_H-M 'P -1'
_symmetry_Int_Tables_number 2
_symmetry_space_group_name_Hall '-P 1'
_cell_length_a 3.150
_cell_length_b 5.036
_cell_length_c 6.920
_cell_angle_alpha 70.58
_cell_angle_beta 88.06
_cell_angle_gamma 84.26
loop_
_atom_site_label
_atom_site_fract_x
_atom_site_fract_y
_atom_site_fract_z
Ge1 0.232 0.362 0.294
H1 0.081 0.133 0.822
Pd1 0.224 0.764 0.958
Pd2 0.289 0.815 0.396
```

Values from the calculation:
Uncorrected energy   -4.8544 eV per atom
Polymorph energy (0 for the lowest one)   0.000 eV/f.u.
Magnetization   0.000 μB/f.u.

***

Density functional theory data (PBE) for Cs3Rb6H after structural relaxation.

Structure (CIF):
```
data_Cs3Rb6H
_chemical_formula_sum 'Cs12 Rb24 H4'
_symmetry_space_group_name_H-M 'C m c 21'
_symmetry_Int_Tables_number 36
_symmetry_space_group_name_Hall 'C 2c -2'
_cell_length_a 15.655
_cell_length_b 25.612
_cell_length_c 8.731
_cell_angle_alpha 90.00
_cell_angle_beta 90.00
_cell_angle_gamma 90.00
loop_
_atom_site_label
_atom_site_fract_x
_atom_site_fract_y
_atom_site_fract_z
Cs1 0.000 0.069 0.000
Cs2 0.166 0.428 0.499
Rb1 0.000 0.255 0.323
Rb2 0.000 0.391 0.996
Rb3 0.151 0.248 0.867
Rb4 0.166 0.101 0.497
H1 0.000 0.281 0.011
```

Values from the calculation:
Uncorrected energy   -1.1693 eV per atom
Magnetization   0.000 μB/f.u.

***

Density functional theory data (PBE) for CoW after structural relaxation.

Structure (CIF):
```
data_CoW
_chemical_formula_sum 'Co6 W6'
_symmetry_space_group_name_H-M 'C 1 m 1'
_symmetry_Int_Tables_number 8
_symmetry_space_group_name_Hall 'C -2y'
_cell_length_a 9.834
_cell_length_b 2.682
_cell_length_c 6.308
_cell_angle_alpha 90.00
_cell_angle_beta 105.49
_cell_angle_gamma 90.00
loop_
_atom_site_label
_atom_site_fract_x
_atom_site_fract_y
_atom_site_fract_z
Co1 0.000 0.000 0.000
Co2 0.064 0.000 0.603
Co3 0.174 0.500 0.338
W1 0.204 0.500 0.944
W2 0.342 0.000 0.665
W3 0.406 0.000 0.275
```

Values from the calculation:
Uncorrected energy   -9.8909 eV per atom
Formation energy from the elements   0.14 eV per atom
Magnetization   0.271 μB/f.u.

***

Density functional theory data (PBE) for CeThCu10 after structural relaxation.

Structure (CIF):
```
data_CeThCu10
_chemical_formula_sum 'Ce1 Th1 Cu10'
_symmetry_space_group_name_H-M 'P m m m'
_symmetry_Int_Tables_number 47
_symmetry_space_group_name_Hall '-P 2 2'
_cell_length_a 4.116
_cell_length_b 5.136
_cell_length_c 8.833
_cell_angle_alpha 90.00
_cell_angle_beta 90.00
_cell_angle_gamma 90.00
loop_
_atom_site_label
_atom_site_fract_x
_atom_site_fract_y
_atom_site_fract_z
Ce1 0.000 0.000 0.000
Th1 0.000 0.500 0.500
Cu1 0.000 0.000 0.332
Cu2 0.000 0.500 0.165
Cu3 0.500 0.000 0.500
Cu4 0.500 0.251 0.251
Cu5 0.500 0.500 0.000
```

Values from the calculation:
Uncorrected energy   -4.6454 eV per atom
Formation energy from the elements   -0.12 eV per atom
Magnetization   1.166 μB/f.u.

***

Density functional theory data (PBE) for InB3C after structural relaxation.

Structure (CIF):
```
data_InB3C
_chemical_formula_sum 'In1 B3 C1'
_symmetry_space_group_name_H-M 'P m -3 m'
_symmetry_Int_Tables_number 221
_symmetry_space_group_name_Hall '-P 4 2 3'
_cell_length_a 3.703
_cell_length_b 3.703
_cell_length_c 3.703
_cell_angle_alpha 90.00
_cell_angle_beta 90.00
_cell_angle_gamma 90.00
loop_
_atom_site_label
_atom_site_fract_x
_atom_site_fract_y
_atom_site_fract_z
In1 0.000 0.000 0.000
B1 0.000 0.500 0.500
C1 0.500 0.500 0.500
```

Values from the calculation:
Uncorrected energy   -4.4796 eV per atom
Formation energy from the elements   1.92 eV per atom
Polymorph energy (0 for the lowest one)   0.000 eV/f.u.
Magnetization   0.000 μB/f.u.

***

Density functional theory data (PBE) for NiAs2HRu after structural relaxation.

Structure (CIF):
```
data_NiAs2HRu
_chemical_formula_sum 'Ni1 As2 H1 Ru1'
_symmetry_space_group_name_H-M 'P 4/m m m'
_symmetry_Int_Tables_number 123
_symmetry_space_group_name_Hall '-P 4 2'
_cell_length_a 4.427
_cell_length_b 4.427
_cell_length_c 3.147
_cell_angle_alpha 90.00
_cell_angle_beta 90.00
_cell_angle_gamma 90.00
loop_
_atom_site_label
_atom_site_fract_x
_atom_site_fract_y
_atom_site_fract_z
Ni1 0.000 0.000 0.000
As1 0.000 0.500 0.500
H1 0.000 0.000 0.500
Ru1 0.500 0.500 0.000
```

Values from the calculation:
Uncorrected energy   -5.3259 eV per atom
Magnetization   0.000 μB/f.u.